Entry 1:
Here is LiTc2Sb after structural relaxation from the Alexandria database. Energies are from PBE.

abc: 3.335 3.335 5.528
angles: 90.00 90.00 90.00
Atoms (fractional coordinates):
Li (0.000, 0.000, 0.000)
Tc (0.500, 0.500, 0.224)
Tc (0.500, 0.500, 0.776)
Sb (0.000, 0.000, 0.500)

E: -6.37 eV per atom
Symmetry: No. 123
E_form (uncorrected): 1.274 eV/f.u.

***

Entry 2:
Here is YHoNp2As4 after structural relaxation from the Alexandria database. Energies are from PBE.

abc: 7.107 4.101 7.129
angles: 90.00 109.40 90.00
Atoms (fractional coordinates):
Y (0.000, 0.000, 0.000)
Ho (0.500, 0.500, 0.000)
Np (0.000, 0.500, 0.500)
Np (0.500, 0.000, 0.500)
As (0.250, 0.000, 0.748)
As (0.252, 0.500, 0.253)
As (0.748, 0.500, 0.747)
As (0.750, 0.000, 0.252)

E: -8.05 eV per atom
ΔE_f: -1.1083 eV/atom
Symmetry: No. 10

***

Entry 3:
Here is LiAgRu after structural relaxation from the Alexandria database. Energies are from PBE.

abc: 2.721 2.721 7.070
angles: 90.00 90.00 120.00
Atoms (fractional coordinates):
Li (0.000, 0.000, 0.000)
Ag (0.333, 0.667, 0.667)
Ru (0.667, 0.333, 0.314)

E: -4.46 eV per atom
ΔE_f: 0.2246 eV/atom
Symmetry: No. 156

***

Entry 4:
Here is InOsPt after structural relaxation from the Alexandria database. Energies are from PBE.

abc: 5.090 5.090 5.090
angles: 147.92 133.68 57.46
Atoms (fractional coordinates):
In (0.000, 0.000, 0.000)
Os (0.671, 0.671, 0.000)
Pt (0.325, 0.325, 0.000)

E: -6.30 eV per atom
ΔE_f: 0.3661 eV/atom
Symmetry: No. 44

***

Entry 5:
Here is Nd5Pa2S12 after structural relaxation from the Alexandria database. Energies are from PBE.

abc: 8.674 8.674 9.145
angles: 105.71 105.71 51.59
Atoms (fractional coordinates):
Nd (0.000, 0.000, 0.000)
Nd (0.293, 0.293, 0.135)
Nd (0.311, 0.311, 0.678)
Nd (0.689, 0.689, 0.322)
Nd (0.707, 0.707, 0.865)
Pa (0.254, 0.746, 0.500)
Pa (0.746, 0.254, 0.500)
S (0.007, 0.007, 0.306)
S (0.095, 0.553, 0.408)
S (0.104, 0.599, 0.935)
S (0.401, 0.896, 0.065)
S (0.447, 0.905, 0.592)
S (0.499, 0.499, 0.285)
S (0.501, 0.501, 0.715)
S (0.553, 0.095, 0.408)
S (0.599, 0.104, 0.935)
S (0.896, 0.401, 0.065)
S (0.905, 0.447, 0.592)
S (0.993, 0.993, 0.694)

E: -6.73 eV per atom
Symmetry: No. 12
E_form (uncorrected): -35.416 eV/f.u.

***

Entry 6:
Here is YScAs2 after structural relaxation from the Alexandria database. Energies are from PBE.

abc: 4.942 4.942 4.942
angles: 60.00 60.00 60.00
Atoms (fractional coordinates):
Y (0.000, 0.000, 0.000)
Sc (0.500, 0.500, 0.500)
As (0.250, 0.250, 0.250)
As (0.750, 0.750, 0.750)

E: -6.48 eV per atom
ΔE_f: -0.9592 eV/atom
Symmetry: No. 225

***

Entry 7:
Here is Ce7SnI12 after structural relaxation from the Alexandria database. Energies are from PBE.

abc: 10.116 10.116 10.116
angles: 108.11 108.11 108.11
Atoms (fractional coordinates):
Ce (0.000, 0.000, 0.000)
Ce (0.160, 0.452, 0.381)
Ce (0.381, 0.160, 0.452)
Ce (0.452, 0.381, 0.160)
Ce (0.548, 0.619, 0.840)
Ce (0.619, 0.840, 0.548)
Ce (0.840, 0.548, 0.619)
Sn (0.500, 0.500, 0.500)
I (0.024, 0.103, 0.345)
I (0.103, 0.345, 0.024)
I (0.193, 0.575, 0.731)
I (0.269, 0.807, 0.425)
I (0.345, 0.024, 0.103)
I (0.425, 0.269, 0.807)
I (0.575, 0.731, 0.193)
I (0.655, 0.976, 0.897)
I (0.731, 0.193, 0.575)
I (0.807, 0.425, 0.269)
I (0.897, 0.655, 0.976)
I (0.976, 0.897, 0.655)

E: -4.37 eV per atom
Symmetry: No. 148
E_form (uncorrected): -23.293 eV/f.u.

***

Entry 8:
Here is Y2ZrB2Rh5 after structural relaxation from the Alexandria database. Energies are from PBE.

abc: 9.692 9.692 3.269
angles: 90.00 90.00 90.00
Atoms (fractional coordinates):
Y (0.175, 0.325, 0.000)
Y (0.325, 0.825, 0.000)
Y (0.675, 0.175, 0.000)
Y (0.825, 0.675, 0.000)
Zr (0.000, 0.000, 0.000)
Zr (0.500, 0.500, 0.000)
B (0.120, 0.620, 0.000)
B (0.380, 0.120, 0.000)
B (0.620, 0.880, 0.000)
B (0.880, 0.380, 0.000)
Rh (0.000, 0.500, 0.500)
Rh (0.071, 0.775, 0.500)
Rh (0.225, 0.071, 0.500)
Rh (0.275, 0.571, 0.500)
Rh (0.429, 0.275, 0.500)
Rh (0.500, 0.000, 0.500)
Rh (0.571, 0.725, 0.500)
Rh (0.725, 0.429, 0.500)
Rh (0.775, 0.929, 0.500)
Rh (0.929, 0.225, 0.500)

E: -7.96 eV per atom
ΔE_f: -0.8019 eV/atom
Symmetry: No. 127

***

Entry 9:
Here is GaRu3W2 after structural relaxation from the Alexandria database. Energies are from PBE.

abc: 2.901 2.901 10.463
angles: 90.00 90.00 90.00
Atoms (fractional coordinates):
Ga (0.000, 0.000, 0.000)
Ru (0.500, 0.500, 0.156)
Ru (0.500, 0.500, 0.500)
Ru (0.500, 0.500, 0.844)
W (0.000, 0.000, 0.323)
W (0.000, 0.000, 0.677)

E: -9.56 eV per atom
ΔE_f: -0.1030 eV/atom
Symmetry: No. 123

***

Entry 10:
Here is NiAs2Se after structural relaxation from the Alexandria database. Energies are from PBE.

abc: 2.759 2.759 10.311
angles: 90.00 90.00 92.33
Atoms (fractional coordinates):
Ni (0.000, 0.000, 0.000)
As (0.000, 0.000, 0.533)
As (0.500, 0.500, 0.843)
Se (0.500, 0.500, 0.179)

E: -4.44 eV per atom
Symmetry: No. 35
E_form (uncorrected): 0.803 eV/f.u.

***

Entry 11:
Here is Zn2CoPt after structural relaxation from the Alexandria database. Energies are from PBE.

abc: 4.499 4.499 2.770
angles: 90.09 90.09 103.84
Atoms (fractional coordinates):
Zn (0.000, 0.500, 0.000)
Zn (0.500, 0.000, 0.000)
Co (0.000, 0.000, 0.500)
Pt (0.500, 0.500, 0.500)

E: -4.15 eV per atom
ΔE_f: -0.2247 eV/atom
Symmetry: No. 12

***

Entry 12:
Here is NiTe2Ru after structural relaxation from the Alexandria database. Energies are from PBE.

abc: 4.168 4.887 4.387
angles: 90.00 108.16 90.00
Atoms (fractional coordinates):
Ni (0.000, 0.000, 0.000)
Te (0.357, 0.000, 0.624)
Te (0.846, 0.500, 0.147)
Ru (0.213, 0.500, 0.774)

E: -5.28 eV per atom
Symmetry: No. 6
E_form (uncorrected): 0.203 eV/f.u.